Material: HoSn2Hg
Method: DFT, GGA-PBE
State: relaxed

formation energy from the elements: -419 meV per atom
distance to the lowest polymorph of the same formula: 0.0000 eV per atom
magnetization: 0.00 μB/cell
V: 24.91 Å³ per atom

Lattice parameters (Å, degrees): 4.724 4.724 4.465 90.00 90.00 90.00
Fractional positions:
1 Ho 0.000 0.000 0.000
2 Sn 0.000 0.500 0.500
3 Sn 0.500 0.000 0.500
4 Hg 0.500 0.500 0.000